Entry 1:
# Y5Pb2C (PBE-GGA, relaxed)
data_Y5Pb2C
_symmetry_space_group_name_H-M 'P 1'
_symmetry_Int_Tables_number 1
_cell_length_a 5.107
_cell_length_b 8.557
_cell_length_c 12.519
_cell_angle_alpha 90.00
_cell_angle_beta 90.00
_cell_angle_gamma 107.36
loop_
_symmetry_equiv_pos_as_xyz
'x,y,z'
loop_
_atom_site_label
_atom_site_fract_x
_atom_site_fract_y
_atom_site_fract_z
Pb1 0.117 0.234 0.876
Pb2 0.883 0.766 0.124
Pb3 0.117 0.234 0.624
Pb4 0.883 0.766 0.376
Y1 0.717 0.433 0.587
Y2 0.079 0.158 0.383
Y3 0.283 0.567 0.413
Y4 0.700 0.399 0.250
Y5 0.921 0.842 0.883
Y6 0.283 0.567 0.087
Y7 0.921 0.842 0.617
Y8 0.300 0.601 0.750
Y9 0.079 0.158 0.117
Y10 0.717 0.433 0.913
C1 0.183 0.366 0.250
C2 0.817 0.634 0.750
# SG: Cmcm
# Electronic total energy (eV per cell): -98.28
# M_tot (μB per cell): 1.65
# Calculated density (Mg/m³): 5.5
# DFT formation energy (meV/atom): -22



Entry 2:
# In4Sb (PBE-GGA, relaxed)
data_In4Sb
_symmetry_space_group_name_H-M 'P 1'
_symmetry_Int_Tables_number 1
_cell_length_a 5.792
_cell_length_b 5.792
_cell_length_c 5.792
_cell_angle_alpha 90.00
_cell_angle_beta 90.00
_cell_angle_gamma 90.00
loop_
_symmetry_equiv_pos_as_xyz
'x,y,z'
loop_
_atom_site_label
_atom_site_fract_x
_atom_site_fract_y
_atom_site_fract_z
In1 0.500 0.000 0.500
In2 0.000 0.000 0.000
In3 0.000 0.500 0.500
In4 0.500 0.500 0.000
Sb1 0.500 0.500 0.500
# SG: Pm-3m
# ΔE_f (raw) (meV/atom): 505.3
# Electronic total energy (eV per cell): -12.55
# E above lowest polymorph (kJ per mole of atoms): 35.9
# M_tot (μB per cell): 0.00
# Calculated density (Mg/m³): 5.0



Entry 3:
# Hf6ZnGa3 (PBE-GGA, relaxed)
data_Hf6ZnGa3
_symmetry_space_group_name_H-M 'P 1'
_symmetry_Int_Tables_number 1
_cell_length_a 5.685
_cell_length_b 7.750
_cell_length_c 9.341
_cell_angle_alpha 89.41
_cell_angle_beta 90.10
_cell_angle_gamma 93.33
loop_
_symmetry_equiv_pos_as_xyz
'x,y,z'
loop_
_atom_site_label
_atom_site_fract_x
_atom_site_fract_y
_atom_site_fract_z
Hf1 0.607 0.175 0.947
Hf2 0.609 0.174 0.549
Hf3 0.909 0.665 0.929
Hf4 0.800 0.014 0.248
Hf5 0.091 0.335 0.071
Hf6 0.907 0.665 0.570
Hf7 0.663 0.410 0.251
Hf8 0.393 0.825 0.053
Hf9 0.391 0.826 0.451
Hf10 0.093 0.335 0.430
Hf11 0.337 0.590 0.749
Hf12 0.200 0.986 0.752
Ga1 0.663 0.893 0.750
Ga2 0.069 0.644 0.250
Ga3 0.931 0.356 0.750
Ga4 0.000 0.000 0.500
Ga5 0.337 0.107 0.250
Ga6 0.500 0.500 0.000
Zn1 0.000 0.000 0.000
Zn2 0.500 0.500 0.500
# SG: P-1
# Electronic total energy (eV per cell): -143.01
# M_tot (μB per cell): 0.00
# Calculated density (Mg/m³): 10.9
# DFT formation energy (meV/atom): -143



Entry 4:
# Tm7Sb2Os2 (PBE-GGA, relaxed)
data_Tm7Sb2Os2
_symmetry_space_group_name_H-M 'P 1'
_symmetry_Int_Tables_number 1
_cell_length_a 4.071
_cell_length_b 9.188
_cell_length_c 9.188
_cell_angle_alpha 58.32
_cell_angle_beta 77.20
_cell_angle_gamma 77.20
loop_
_symmetry_equiv_pos_as_xyz
'x,y,z'
loop_
_atom_site_label
_atom_site_fract_x
_atom_site_fract_y
_atom_site_fract_z
Tm1 0.814 0.081 0.291
Tm2 0.186 0.709 0.919
Tm3 0.369 0.740 0.522
Tm4 0.500 0.017 0.983
Tm5 0.152 0.120 0.576
Tm6 0.848 0.424 0.880
Tm7 0.631 0.478 0.260
Sb1 0.000 0.764 0.236
Sb2 0.500 0.350 0.650
Os1 0.740 0.846 0.674
Os2 0.260 0.326 0.154
# SG: Imm2
# ΔE_f (raw) (meV/atom): -555.0
# Electronic total energy (eV per cell): -68.11
# M_tot (μB per cell): 0.00
# Calculated density (Mg/m³): 10.6



- What is the calculated density in the third record?
  10.9 Mg/m³